Record 1
VASP calculation (PBE) on a relaxed Pr3Y3Ga crystal.

The calculated total energy is -37.7 eV per formula unit. The calculation puts the volume at 444.70 Å³ per cell. The space-group type is Cmcm, No. 63. As for the total moment: 0.32 μB per formula unit.

a b c (Å): 6.8168 6.8168 18.1160
angles (deg): 90.00 90.00 148.11
Positions (direct):
Pr 0.1749 0.8251 0.5752
Pr 0.1749 0.8251 0.9248
Pr 0.2843 0.7157 0.7500
Pr 0.7157 0.2843 0.2500
Pr 0.8251 0.1749 0.0752
Pr 0.8251 0.1749 0.4248
Y 0.0846 0.9154 0.1159
Y 0.0846 0.9154 0.3841
Y 0.4410 0.5590 0.2500
Y 0.5590 0.4410 0.7500
Y 0.9154 0.0846 0.6159
Y 0.9154 0.0846 0.8841
Ga 0.5000 0.5000 0.0000
Ga 0.5000 0.5000 0.5000


Record 2
VASP calculation (PBE) on a relaxed Ga2Pt crystal.

The calculated total energy is -13.8 eV per formula unit. The calculation puts the volume at 815.57 Å³ per cell. The space-group type is I4_1/acd, No. 142. As for the total moment: 0.00 μB per formula unit.

a b c (Å): 12.5343 12.5343 12.5343
angles (deg): 139.72 139.72 58.27
Positions (direct):
Ga 0.0128 0.0370 0.4268
Ga 0.0370 0.1102 0.0242
Ga 0.0860 0.6102 0.5732
Ga 0.1102 0.5860 0.0732
Ga 0.1410 0.1622 0.4277
Ga 0.1622 0.2345 0.0212
Ga 0.2133 0.7345 0.5723
Ga 0.2345 0.7133 0.0723
Ga 0.2655 0.3378 0.4788
Ga 0.2867 0.8590 0.5212
Ga 0.3378 0.3590 0.0723
Ga 0.3590 0.7867 0.0212
Ga 0.3898 0.4630 0.4758
Ga 0.4140 0.9872 0.5242
Ga 0.4630 0.4872 0.0732
Ga 0.4872 0.9140 0.0242
Ga 0.5128 0.0860 0.9758
Ga 0.5370 0.5128 0.9268
Ga 0.5860 0.0128 0.4758
Ga 0.6102 0.5370 0.5242
Ga 0.6410 0.2133 0.9788
Ga 0.6622 0.6410 0.9277
Ga 0.7133 0.1410 0.4788
Ga 0.7345 0.6622 0.5212
Ga 0.7655 0.2867 0.9277
Ga 0.7867 0.2655 0.4277
Ga 0.8378 0.7655 0.9788
Ga 0.8590 0.8378 0.5723
Ga 0.8898 0.4140 0.9268
Ga 0.9140 0.3898 0.4268
Ga 0.9630 0.8898 0.9758
Ga 0.9872 0.9630 0.5732
Pt 0.0180 0.2680 0.7500
Pt 0.0669 0.4331 0.2500
Pt 0.1831 0.9331 0.8662
Pt 0.2320 0.4820 0.7500
Pt 0.2680 0.0180 0.2500
Pt 0.3169 0.1831 0.7500
Pt 0.4331 0.6831 0.3662
Pt 0.4820 0.2320 0.2500
Pt 0.5180 0.7680 0.7500
Pt 0.5669 0.3169 0.6338
Pt 0.6831 0.8169 0.2500
Pt 0.7320 0.9820 0.7500
Pt 0.7680 0.5180 0.2500
Pt 0.8169 0.0669 0.1338
Pt 0.9331 0.5669 0.7500
Pt 0.9820 0.7320 0.2500


Record 3
VASP calculation (PBE) on a relaxed GaPt2 crystal.

The calculated total energy is -16.8 eV per formula unit. The calculation puts the volume at 367.72 Å³ per cell. The space-group type is Pmma, No. 51. As for the total moment: 0.00 μB per formula unit.

a b c (Å): 16.6760 3.9613 5.5667
angles (deg): 90.00 90.00 90.00
Positions (direct):
Ga 0.0000 0.0000 0.0000
Ga 0.0929 0.5000 0.3135
Ga 0.2500 0.5000 0.7923
Ga 0.4071 0.5000 0.3135
Ga 0.5000 0.0000 0.0000
Ga 0.5929 0.5000 0.6865
Ga 0.7500 0.5000 0.2077
Ga 0.9071 0.5000 0.6865
Pt 0.0000 0.0000 0.5000
Pt 0.0692 0.5000 0.7944
Pt 0.1560 0.0000 0.0497
Pt 0.1680 0.0000 0.5562
Pt 0.2500 0.5000 0.2670
Pt 0.3320 0.0000 0.5562
Pt 0.3440 0.0000 0.0497
Pt 0.4308 0.5000 0.7944
Pt 0.5000 0.0000 0.5000
Pt 0.5692 0.5000 0.2056
Pt 0.6560 0.0000 0.9503
Pt 0.6680 0.0000 0.4438
Pt 0.7500 0.5000 0.7330
Pt 0.8320 0.0000 0.4438
Pt 0.8440 0.0000 0.9503
Pt 0.9308 0.5000 0.2056


Record 4
VASP calculation (PBE) on a relaxed GaPt2 crystal.

The calculated total energy is -15.4 eV per formula unit. The calculation puts the volume at 106.13 Å³ per cell. The space-group type is Fd-3m, No. 227. As for the total moment: 0.01 μB per formula unit.

a b c (Å): 5.3144 5.3144 5.3144
angles (deg): 60.00 60.00 60.00
Positions (direct):
Ga 0.1250 0.1250 0.1250
Ga 0.8750 0.8750 0.8750
Pt 0.0000 0.5000 0.5000
Pt 0.5000 0.0000 0.5000
Pt 0.5000 0.5000 0.0000
Pt 0.5000 0.5000 0.5000


Record 5
VASP calculation (PBE) on a relaxed Ga3Pt crystal.

The calculated total energy is -16.9 eV per formula unit. The calculation puts the volume at 136.81 Å³ per cell. The space-group type is Cmcm, No. 63. As for the total moment: 0.00 μB per formula unit.

a b c (Å): 4.8555 4.8555 8.2976
angles (deg): 90.00 90.00 135.62
Positions (direct):
Ga 0.0681 0.9319 0.7500
Ga 0.3644 0.6356 0.5392
Ga 0.3644 0.6356 0.9608
Ga 0.6356 0.3644 0.0392
Ga 0.6356 0.3644 0.4608
Ga 0.9319 0.0681 0.2500
Pt 0.2191 0.7809 0.2500
Pt 0.7809 0.2191 0.7500


Record 6
VASP calculation (PBE) on a relaxed GaPt7 crystal.

Its offset from the most stable computed form is 0.000 eV per atom. The calculated total energy is -46.0 eV per formula unit. The calculation puts the volume at 401.80 Å³ per cell. The space-group type is Pmmn, No. 59. As for the total moment: 0.01 μB per formula unit.

a b c (Å): 2.7888 3.9024 36.9194
angles (deg): 90.00 90.00 90.00
Positions (direct):
Ga 0.2500 0.2500 0.2159
Ga 0.7500 0.7500 0.7841
Pt 0.2500 0.2500 0.2860
Pt 0.2500 0.2500 0.3642
Pt 0.2500 0.2500 0.4420
Pt 0.2500 0.2500 0.5194
Pt 0.2500 0.2500 0.5971
Pt 0.2500 0.2500 0.6757
Pt 0.2500 0.2500 0.7604
Pt 0.7500 0.7500 0.2396
Pt 0.7500 0.7500 0.3243
Pt 0.7500 0.7500 0.4029
Pt 0.7500 0.7500 0.4806
Pt 0.7500 0.7500 0.5580
Pt 0.7500 0.7500 0.6358
Pt 0.7500 0.7500 0.7140


Record 7
VASP calculation (PBE) on a relaxed Ga2Pt crystal.

The calculated total energy is -11.7 eV per formula unit. The calculation puts the volume at 97.63 Å³ per cell. The space-group type is Fd-3m, No. 227. As for the total moment: 0.01 μB per formula unit.

a b c (Å): 5.1684 5.1684 5.1684
angles (deg): 60.00 60.00 60.00
Positions (direct):
Ga 0.0000 0.0000 0.0000
Ga 0.0000 0.0000 0.5000
Ga 0.0000 0.5000 0.0000
Ga 0.5000 0.0000 0.0000
Pt 0.3750 0.3750 0.3750
Pt 0.6250 0.6250 0.6250


Record 8
VASP calculation (PBE) on a relaxed Ga2Pt crystal.

The calculated total energy is -13.9 eV per formula unit. The calculation puts the volume at 53.77 Å³ per cell. The space-group type is Fm-3m, No. 225. As for the total moment: 0.00 μB per formula unit.

a b c (Å): 4.2365 4.2365 4.2365
angles (deg): 60.00 60.00 60.00
Positions (direct):
Ga 0.2500 0.2500 0.2500
Ga 0.7500 0.7500 0.7500
Pt 0.0000 0.0000 0.0000


Record 9
VASP calculation (PBE) on a relaxed GaPt7 crystal.

Its offset from the most stable computed form is 0.047 eV per atom. The calculated total energy is -45.6 eV per formula unit. The calculation puts the volume at 353.36 Å³ per cell. The space-group type is P4/nmm, No. 129. As for the total moment: 0.03 μB per formula unit.

a b c (Å): 2.8009 2.8009 45.0408
angles (deg): 90.00 90.00 90.00
Positions (direct):
Ga 0.2500 0.2500 0.1686
Ga 0.7500 0.7500 0.8314
Pt 0.2500 0.2500 0.2572
Pt 0.2500 0.2500 0.3457
Pt 0.2500 0.2500 0.4337
Pt 0.2500 0.2500 0.5221
Pt 0.2500 0.2500 0.6103
Pt 0.2500 0.2500 0.6984
Pt 0.2500 0.2500 0.7892
Pt 0.7500 0.7500 0.2108
Pt 0.7500 0.7500 0.3016
Pt 0.7500 0.7500 0.3897
Pt 0.7500 0.7500 0.4779
Pt 0.7500 0.7500 0.5663
Pt 0.7500 0.7500 0.6543
Pt 0.7500 0.7500 0.7428


Record 10
VASP calculation (PBE) on a relaxed Ga2Pt crystal.

The calculated total energy is -13.6 eV per formula unit. The calculation puts the volume at 197.62 Å³ per cell. The space-group type is Pnma, No. 62. As for the total moment: 0.00 μB per formula unit.

a b c (Å): 6.6144 3.5882 8.3267
angles (deg): 90.00 90.00 90.00
Positions (direct):
Ga 0.0544 0.2500 0.1531
Ga 0.1392 0.2500 0.5593
Ga 0.3608 0.7500 0.0593
Ga 0.4456 0.7500 0.6531
Ga 0.5544 0.2500 0.3469
Ga 0.6392 0.2500 0.9407
Ga 0.8608 0.7500 0.4407
Ga 0.9456 0.7500 0.8469
Pt 0.2495 0.7500 0.3521
Pt 0.2505 0.2500 0.8521
Pt 0.7495 0.7500 0.1479
Pt 0.7505 0.2500 0.6479


Record 11
VASP calculation (PBE) on a relaxed Pu2Ga3Pt4 crystal.

The calculated total energy is -69.0 eV per formula unit. The calculation puts the volume at 331.19 Å³ per cell. The space-group type is Cmce, No. 64. As for the total moment: 10.86 μB per formula unit.

a b c (Å): 8.2725 8.2725 7.5115
angles (deg): 90.00 90.00 139.89
Positions (direct):
Pu 0.1026 0.8974 0.9019
Pu 0.3974 0.6026 0.4019
Pu 0.6026 0.3974 0.5981
Pu 0.8974 0.1026 0.0981
Ga 0.0000 0.0000 0.5000
Ga 0.0171 0.4829 0.7500
Ga 0.4829 0.0171 0.2500
Ga 0.5000 0.5000 0.0000
Ga 0.5171 0.9829 0.7500
Ga 0.9829 0.5171 0.2500
Pt 0.1784 0.8216 0.5232
Pt 0.1853 0.3147 0.7500
Pt 0.3147 0.1853 0.2500
Pt 0.3216 0.6784 0.0232
Pt 0.6784 0.3216 0.9768
Pt 0.6853 0.8147 0.7500
Pt 0.8147 0.6853 0.2500
Pt 0.8216 0.1784 0.4768


Record 12
VASP calculation (PBE) on a relaxed Pu2GaPt3 crystal.

The calculated total energy is -55.0 eV per formula unit. The calculation puts the volume at 226.10 Å³ per cell. The space-group type is P6_3/mmc, No. 194. As for the total moment: 10.89 μB per formula unit.

a b c (Å): 5.5727 5.5727 8.4069
angles (deg): 90.00 90.00 120.00
Positions (direct):
Pu 0.3333 0.6667 0.0693
Pu 0.3333 0.6667 0.4307
Pu 0.6667 0.3333 0.5693
Pu 0.6667 0.3333 0.9307
Ga 0.0000 0.0000 0.0000
Ga 0.0000 0.0000 0.5000
Pt 0.1692 0.3385 0.7500
Pt 0.1692 0.8308 0.7500
Pt 0.3385 0.1692 0.2500
Pt 0.6615 0.8308 0.7500
Pt 0.8308 0.1692 0.2500
Pt 0.8308 0.6615 0.2500